1.
Here is a relaxed structure of Cu5Ag4 from the Open Quantum Materials Database. Energies are from PBE.

The space group is P3m1 (No. 156) and the conventional cell measures 2.7798, 2.7798 and 19.7602 Å, with angles of 90.00, 90.00 and 120.00 degrees. The asymmetric unit holds Cu at (0.0000, 0.0000, 0.0000), Cu at (0.0000, 0.0000, 0.3257), Cu at (0.3333, 0.6667, 0.2266), Cu at (0.6667, 0.3333, 0.4250), Cu at (0.6667, 0.3333, 0.7761), Ag at (0.0000, 0.0000, 0.6649), Ag at (0.3333, 0.6667, 0.5377), Ag at (0.3333, 0.6667, 0.8879) and Ag at (0.6667, 0.3333, 0.1129).

The final energy is -28.89 eV/cell. The calculation puts the relative energy among the computed polymorphs at 70 meV per atom. The volume comes out at 132 Å³ per cell.


2.
Here is a relaxed structure of BeRe2Mo from the Open Quantum Materials Database. Energies are from PBE.

The space group is F-43m (No. 216) and the conventional cell measures 6.060, 6.060 and 6.060 Å, with angles of 90.00, 90.00 and 90.00 degrees. The asymmetric unit holds Be at (0.000, 0.000, 0.000), Re at (0.000, 0.000, 0.500), Re at (0.250, 0.250, 0.250) and Mo at (0.250, 0.250, 0.750).

The final energy is -155.31 eV/cell. The total magnetic moment comes out at 0.002 μB/atom. The volume comes out at 223 Å³ per cell.


3.
Here is a relaxed structure of Hf4AlAsC2 from the Open Quantum Materials Database. Energies are from PBE.

The space group is P-6m2 (No. 187) and the conventional cell measures 3.3401, 3.3401 and 13.5063 Å, with angles of 90.00, 90.00 and 120.00 degrees. The asymmetric unit holds Hf at (0.0000, 0.0000, 0.1456), Hf at (0.6667, 0.3333, 0.3292), Al at (0.0000, 0.0000, 0.5000), As at (0.6667, 0.3333, 0.0000) and C at (0.3333, 0.6667, 0.2375).

The final energy is -73.26 eV/cell. The total magnetic moment comes out at 0.000 μB/atom. The volume comes out at 130 Å³ per cell.


4.
Here is a relaxed structure of ScTlZnCo from the Open Quantum Materials Database. Energies are from PBE.

The space group is F-43m (No. 216) and the conventional cell measures 6.469, 6.469 and 6.469 Å, with angles of 90.00, 90.00 and 90.00 degrees. The asymmetric unit holds Sc at (0.000, 0.000, 0.000), Tl at (0.250, 0.250, 0.250), Zn at (0.250, 0.250, 0.750) and Co at (0.000, 0.000, 0.500).

The final energy is -68.19 eV/cell. The total magnetic moment comes out at 0.018 μB/atom. The calculation puts the relative energy among the computed polymorphs at 0 meV per atom. The volume comes out at 271 Å³ per cell.


What is the final energy in the third record? -73.26 eV/cell


Please write out number 1 again, unchanged.
Here is a relaxed structure of Cu5Ag4 from the Open Quantum Materials Database. Energies are from PBE.

The space group is P3m1 (No. 156) and the conventional cell measures 2.7798, 2.7798 and 19.7602 Å, with angles of 90.00, 90.00 and 120.00 degrees. The asymmetric unit holds Cu at (0.0000, 0.0000, 0.0000), Cu at (0.0000, 0.0000, 0.3257), Cu at (0.3333, 0.6667, 0.2266), Cu at (0.6667, 0.3333, 0.4250), Cu at (0.6667, 0.3333, 0.7761), Ag at (0.0000, 0.0000, 0.6649), Ag at (0.3333, 0.6667, 0.5377), Ag at (0.3333, 0.6667, 0.8879) and Ag at (0.6667, 0.3333, 0.1129).

The final energy is -28.89 eV/cell. The calculation puts the relative energy among the computed polymorphs at 70 meV per atom. The volume comes out at 132 Å³ per cell.


Repeat the fourth record exactly.
Here is a relaxed structure of ScTlZnCo from the Open Quantum Materials Database. Energies are from PBE.

The space group is F-43m (No. 216) and the conventional cell measures 6.469, 6.469 and 6.469 Å, with angles of 90.00, 90.00 and 90.00 degrees. The asymmetric unit holds Sc at (0.000, 0.000, 0.000), Tl at (0.250, 0.250, 0.250), Zn at (0.250, 0.250, 0.750) and Co at (0.000, 0.000, 0.500).

The final energy is -68.19 eV/cell. The total magnetic moment comes out at 0.018 μB/atom. The calculation puts the relative energy among the computed polymorphs at 0 meV per atom. The volume comes out at 271 Å³ per cell.